First-principles (PBE) data for a relaxed structure of La2Ho5Th, as listed in Alexandria. Values from VASP.

The structure in Quantum ESPRESSO input format:
```
&SYSTEM
  ibrav = 0, nat = 16, ntyp = 3
/
ATOMIC_SPECIES
La 138.91 La.upf
Ho 164.93 Ho.upf
Th 232.04 Th.upf
CELL_PARAMETERS angstrom
-2.4059 4.0143 2.1167
-5.6670 -1.2113 -4.1440
-5.4916 -8.5723 10.0155
ATOMIC_POSITIONS angstrom
La -6.0604 -3.6508 6.2676
La -7.5041 -2.1185 1.7206
La -3.2912 0.6403 1.2769
La -10.2733 -6.4096 6.7112
Ho 0.0000 0.0000 0.0000
Ho -5.5793 -4.8918 2.9358
Ho -7.0292 -7.0639 5.4073
Ho -4.1295 -2.7197 0.4643
Ho -6.9817 -3.3545 -1.5737
Ho -4.1770 -6.4291 7.4452
Ho -7.5213 -5.8439 8.7662
Ho -6.0432 0.0746 -0.7780
Ho -4.6223 -1.5250 3.8705
Ho -8.9422 -4.2443 4.1177
Th -2.7458 -4.2861 5.0078
Th -2.8335 -0.6057 -2.0720
```

Summary:
The calculation puts the total energy at -4.987 eV/atom. The space-group type is Pbam. The value obtained for the formation energy is 0.77 kcal/mol of atoms. For the magnetization, the calculation gives 0.0 μB/cell. The value obtained for the energy relative to the lowest polymorph listed for this composition is 0 meV per atom. As for the crystal system: orthorhombic.


First-principles (PBE) data for a relaxed structure of La8HoTh2, as listed in Alexandria. Values from VASP.

The structure in Quantum ESPRESSO input format:
```
&SYSTEM
  ibrav = 0, nat = 11, ntyp = 3
/
ATOMIC_SPECIES
La 138.91 La.upf
Ho 164.93 Ho.upf
Th 232.04 Th.upf
CELL_PARAMETERS angstrom
-1.7638 5.2482 -1.7644
-2.8646 -3.3171 -7.0030
-4.9768 -2.2146 7.9568
ATOMIC_POSITIONS angstrom
La -4.9119 -0.0556 -4.8242
La -5.8610 -1.5804 1.1580
La -2.3379 -0.4003 1.1463
La -0.8419 -0.9747 -2.0577
La -7.2673 0.1168 -1.9569
La -3.7442 1.2969 -1.9686
La -4.6933 -0.2279 4.0136
La -8.7634 0.6912 1.2470
Ho -0.8819 2.6241 -0.8822
Th -4.3265 -2.1540 -2.0822
Th -5.2787 1.8705 1.2715
```

Summary:
The calculation puts the total energy at -5.209 eV/atom. The space-group type is Immm. The value obtained for the formation energy is 3.23 kcal/mol of atoms. For the magnetization, the calculation gives 0.0 μB/cell. As for the crystal system: orthorhombic.


First-principles (PBE) data for a relaxed structure of La7Ho16Th6, as listed in Alexandria. Values from VASP.

The structure in Quantum ESPRESSO input format:
```
&SYSTEM
  ibrav = 0, nat = 29, ntyp = 3
/
ATOMIC_SPECIES
La 138.91 La.upf
Ho 164.93 Ho.upf
Th 232.04 Th.upf
CELL_PARAMETERS angstrom
9.6289 0.0000 5.5592
3.2096 9.0782 5.5592
0.0000 0.0000 11.1185
ATOMIC_POSITIONS angstrom
La 0.0000 0.0000 0.0000
La 4.8144 0.0000 8.3389
La 1.6048 4.5391 2.7796
La 1.6048 4.5391 8.3389
La 4.8144 0.0000 2.7796
La 0.0000 0.0000 5.5592
La 6.4193 4.5391 5.5592
Ho 10.9053 7.7112 14.4669
Ho 10.9053 7.7112 18.8886
Ho 9.6289 4.1009 16.6777
Ho 7.0760 7.7112 16.6777
Ho 1.9332 1.3670 3.3484
Ho 1.9332 1.3670 7.7701
Ho 3.2096 4.9773 5.5592
Ho 5.7625 1.3670 5.5592
Ho 7.8559 5.5550 8.6302
Ho 7.8559 5.5550 13.6068
Ho 6.4193 1.4915 11.1185
Ho 3.5460 5.5550 11.1185
Ho 4.9826 3.5233 8.6302
Ho 4.9826 3.5233 13.6068
Ho 6.4193 7.5867 11.1185
Ho 9.2925 3.5233 11.1185
Th 4.6684 7.0152 8.0859
Th 8.1701 2.0630 14.1511
Th 8.1701 2.0630 8.0859
Th 4.6684 7.0152 14.1511
Th 9.9210 7.0152 11.1185
Th 2.9175 2.0630 11.1185
```

Summary:
The calculation puts the total energy at -5.012 eV/atom. The space-group type is Fm-3m. The value obtained for the formation energy is 5.49 kcal/mol of atoms. For the magnetization, the calculation gives 0.0 μB/cell. As for the crystal system: cubic.


First-principles (PBE) data for a relaxed structure of La2Ho9Th, as listed in Alexandria. Values from VASP.

The structure in Quantum ESPRESSO input format:
```
&SYSTEM
  ibrav = 0, nat = 12, ntyp = 3
/
ATOMIC_SPECIES
La 138.91 La.upf
Ho 164.93 Ho.upf
Th 232.04 Th.upf
CELL_PARAMETERS angstrom
-2.4269 -3.8014 -2.2596
1.3351 -3.0871 3.7595
-12.6636 3.6366 7.4835
ATOMIC_POSITIONS angstrom
La -4.2094 1.2088 2.4875
La -8.4542 2.4278 4.9960
Ho -0.5459 -3.4442 0.7499
Ho -4.7503 -2.2369 3.2345
Ho -9.0051 -1.0150 5.7489
Ho -3.2593 -1.3132 0.0792
Ho -7.5453 -0.0824 2.6120
Ho -11.8313 1.1484 5.1448
Ho -1.3783 -0.9560 3.0887
Ho -5.6642 0.2748 5.6215
Ho -9.9502 1.5055 8.1543
Th 0.0000 0.0000 0.0000
```

Summary:
The calculation puts the total energy at -4.841 eV/atom. The space-group type is P4/mmm. The value obtained for the formation energy is 0.74 kcal/mol of atoms. For the magnetization, the calculation gives 0.0 μB/cell. As for the crystal system: tetragonal.


First-principles (PBE) data for a relaxed structure of La9HoTh4, as listed in Alexandria. Values from VASP.

The structure in Quantum ESPRESSO input format:
```
&SYSTEM
  ibrav = 0, nat = 28, ntyp = 3
/
ATOMIC_SPECIES
La 138.91 La.upf
Ho 164.93 Ho.upf
Th 232.04 Th.upf
CELL_PARAMETERS angstrom
-4.7164 8.0672 6.0070
-9.0432 -2.0475 -4.3505
2.7444 -4.8106 8.6154
ATOMIC_POSITIONS angstrom
La -5.8095 -4.1916 1.9928
La -6.9287 -2.2298 -1.5207
La -3.2408 -1.3948 0.2535
La -5.2057 5.4007 8.2790
La -4.0865 3.4388 11.7925
La -7.7744 2.6038 10.0183
La -3.2722 2.0934 5.8164
La -2.1529 0.1316 9.3299
La -5.8409 -0.7034 7.5557
La -7.7430 -0.8844 4.4554
La -8.8622 1.0775 0.9419
La -5.1743 1.9125 2.7161
La -2.8047 -3.3198 7.3924
La -3.8257 -1.5301 4.1873
La -0.4614 -0.7684 5.8058
La -8.2105 4.5289 2.8794
La -7.1895 2.7392 6.0845
La -10.5538 1.9775 4.4661
Ho -6.2931 -0.9518 1.4732
Ho -4.7221 2.1608 8.7986
Th -1.5743 0.7194 2.9339
Th 0.2547 -2.4866 8.6755
Th -5.7721 -3.8512 5.7761
Th -9.4409 0.4897 7.3380
Th -11.2698 3.6957 1.5964
Th -5.2431 5.0602 4.4957
Th 0.0000 0.0000 0.0000
Th -2.3582 4.0336 3.0035
```

Summary:
The calculation puts the total energy at -5.492 eV/atom. The space-group type is P6_3/mmc. The value obtained for the formation energy is 2.82 kcal/mol of atoms. For the magnetization, the calculation gives 0.0 μB/cell. As for the crystal system: hexagonal.


First-principles (PBE) data for a relaxed structure of La3Ho6Th, as listed in Alexandria. Values from VASP.

The structure in Quantum ESPRESSO input format:
```
&SYSTEM
  ibrav = 0, nat = 20, ntyp = 3
/
ATOMIC_SPECIES
La 138.91 La.upf
Ho 164.93 Ho.upf
Th 232.04 Th.upf
CELL_PARAMETERS angstrom
-0.9003 0.1472 3.3727
-11.6950 1.2970 -3.1783
5.8879 -16.3700 2.2859
ATOMIC_POSITIONS angstrom
La -1.2529 -12.9604 2.9457
La -5.4544 -1.9655 -0.4653
La -5.1827 -7.6058 1.6631
La -1.5246 -7.3201 0.8173
La -2.7740 -1.6750 2.0472
La -3.9334 -13.2509 0.4331
Ho -2.9928 -10.1687 2.3595
Ho -3.7146 -4.7572 0.1209
Ho -11.0601 -0.0724 -0.2345
Ho 4.3528 -14.8535 2.7149
Ho 0.9835 -15.4022 3.6492
Ho -7.6908 0.4764 -1.1688
Ho -7.2166 -4.8890 1.0016
Ho 0.5093 -10.0369 1.4788
Ho 1.1580 -6.8655 3.3233
Ho -7.8654 -8.0604 -0.8429
Ho -6.4276 -10.7395 1.4675
Ho -0.2798 -4.1864 1.0129
Th 2.0810 -12.1735 3.8012
Th -8.7884 -2.7524 -1.3209
```

Summary:
The calculation puts the total energy at -4.848 eV/atom. The space-group type is P2_1/m. The value obtained for the formation energy is 2.74 kcal/mol of atoms. For the magnetization, the calculation gives 0.0 μB/cell. The value obtained for the energy relative to the lowest polymorph listed for this composition is 0 meV per atom. As for the crystal system: monoclinic.